Below is crystalline VO2F at its relaxed geometry, with properties calculated at the PBE+U level.

extended XYZ file:
```
32
Lattice="5.658 0.000 0.000 0.000 11.316 0.000 -5.505 0.000 7.430" Properties=species:S:1:pos:R:3 pbc="T T T"
V -0.832 1.464 1.733
V -3.585 4.194 5.448
V -2.120 7.424 5.847
V 0.632 9.550 2.132
V -0.479 1.766 5.298
V 2.274 3.892 1.583
V 3.738 7.122 1.982
V 0.985 9.852 5.697
O -0.877 5.912 2.140
O -3.630 11.063 5.855
O -3.616 8.396 5.863
O -0.864 8.578 2.147
O -0.646 1.525 3.566
O -3.398 4.134 7.281
O -1.780 2.690 5.648
O 0.973 2.968 1.933
O -0.819 8.348 5.497
O 1.933 8.626 1.782
O 3.551 7.183 0.149
O 0.799 9.792 3.864
O 1.017 2.738 5.283
O 3.770 2.920 1.568
O 3.783 0.253 1.575
O 1.031 5.405 5.290
F -2.562 7.284 3.776
F 0.191 9.690 0.061
F 0.787 0.109 1.800
F -1.966 5.549 5.515
F 2.119 5.767 1.915
F -0.634 11.207 5.630
F -0.037 1.626 7.369
F 2.715 4.032 3.654
```

Values from the calculation:
Space group: P2_1/c, No. 14
D(E_F): 0.00 states/eV/f.u.
E: -6.802 eV/atom
Total magnetic moment: 0.000 μB/f.u.